SrYMgIn: optimized geometry, PBE.

Cell and atoms, written as POSCAR:
```
SrYMgIn
1.0
3.919 0.000 0.000
0.000 3.919 0.000
0.000 0.000 7.994
Sr Y Mg In
1 1 1 1
Direct
0.000 0.000 0.000
0.000 0.000 0.491
0.500 0.500 0.713
0.500 0.500 0.275
```

Values from the calculation:
space-group type	P4mm
VASP energy	-13.58	eV/cell



BaLiGa2Pd: optimized geometry, PBE.

Cell and atoms, written as POSCAR:
```
BaLiGa2Pd
1.0
-2.387 2.387 4.948
2.387 -2.387 4.948
2.387 2.387 -4.948
Ba Li Ga Pd
1 1 2 1
Direct
0.000 0.000 0.000
0.250 0.750 0.500
0.363 0.363 0.000
0.637 0.637 0.000
0.750 0.250 0.500
```

Values from the calculation:
space-group type	I-4m2
polymorph energy (0 for the lowest one)	0.0	meV/atom